# 1
Computed, not measured: a relaxed Sm4Re3N12 crystal at the PBE level of DFT.

Calculated values
* space-group type: Im-3, No. 204
* theoretical density: 7.0 Mg/m³
* electronic total energy: -153.313 eV/cell

abc: 7.420 7.420 7.420
angles: 109.47 109.47 109.47
Each line ends with the local moment (μB).
Fractional coordinates of all 19 atoms:
Sm (0.000, 0.000, 0.500)  0.01
Sm (0.500, 0.500, 0.500)  0.01
Sm (0.500, 0.000, 0.000)  0.01
Sm (0.000, 0.500, 0.000)  0.01
Re (0.500, 0.000, 0.500)  -0.16
Re (0.500, 0.500, 0.000)  -0.16
Re (0.000, 0.500, 0.500)  -0.16
N (0.662, 0.511, 0.849)  0.13
N (0.338, 0.489, 0.151)  0.13
N (0.338, 0.188, 0.849)  0.13
N (0.511, 0.849, 0.662)  0.13
N (0.849, 0.338, 0.188)  0.13
N (0.151, 0.338, 0.489)  0.13
N (0.188, 0.849, 0.338)  0.13
N (0.151, 0.662, 0.812)  0.13
N (0.662, 0.812, 0.151)  0.13
N (0.489, 0.151, 0.338)  0.13
N (0.849, 0.662, 0.511)  0.13
N (0.812, 0.151, 0.662)  0.13

# 2
Computed, not measured: a relaxed SmReN2 crystal at the PBE level of DFT.

Calculated values
* space-group type: P4/mmm, No. 123
* energy above the lowest structure with this stoichiometry: 0.000 eV/atom
* theoretical density: 11.3 Mg/m³
* electronic total energy: -37.333 eV/cell

abc: 3.390 3.972 3.972
angles: 90.00 90.00 90.00
Fractional coordinates of all 4 atoms:
Sm (0.500, 0.500, 0.500)
Re (0.000, 0.000, 0.000)
N (0.000, 0.500, 0.000)
N (0.000, 0.000, 0.500)